Density functional theory data (GGA+U) for an optimized crystal structure of NaVCoF6.

Lattice parameters (Å, degrees): 5.372 5.372 9.748 90.00 90.00 120.00
Sites, in units of the cell vectors:
1 Na 0.000 0.000 0.000
2 Na 0.000 0.000 0.500
3 V 0.667 0.333 0.250
4 V 0.333 0.667 0.750
5 Co 0.333 0.667 0.250
6 Co 0.667 0.333 0.750
7 F 0.647 0.636 0.141
8 F 0.988 0.353 0.141
9 F 0.353 0.988 0.641
10 F 0.012 0.647 0.859
11 F 0.364 0.353 0.359
12 F 0.988 0.636 0.359
13 F 0.636 0.988 0.859
14 F 0.647 0.012 0.359
15 F 0.012 0.364 0.641
16 F 0.364 0.012 0.141
17 F 0.636 0.647 0.641
18 F 0.353 0.364 0.859

Output
- SG = P-31c, No. 163
- final energy (eV/atom) = -5.3443

Density functional theory data (GGA+U) for an optimized crystal structure of NaVCo2F.

Lattice parameters (Å, degrees): 4.718 3.973 4.718 90.00 90.00 90.00
Sites, in units of the cell vectors:
1 Na 0.500 0.500 0.500
2 F 0.000 0.500 0.000
3 Co 0.000 0.000 0.500
4 Co 0.500 0.000 0.000
5 V 0.000 0.000 0.000

Output
- SG = P4/mmm, No. 123
- final energy (eV/atom) = -3.5292

Density functional theory data (GGA+U) for an optimized crystal structure of NaYCoF6.

Lattice parameters (Å, degrees): 5.675 5.675 9.583 90.00 90.00 120.00
Sites, in units of the cell vectors:
1 Na 0.000 0.000 0.000
2 Na 0.000 0.000 0.500
3 Y 0.333 0.667 0.250
4 Y 0.667 0.333 0.750
5 Co 0.667 0.333 0.250
6 Co 0.333 0.667 0.750
7 F 0.656 0.638 0.136
8 F 0.982 0.344 0.136
9 F 0.344 0.982 0.636
10 F 0.018 0.656 0.864
11 F 0.362 0.344 0.364
12 F 0.982 0.638 0.364
13 F 0.638 0.982 0.864
14 F 0.656 0.018 0.364
15 F 0.018 0.362 0.636
16 F 0.362 0.018 0.136
17 F 0.638 0.656 0.636
18 F 0.344 0.362 0.864

Output
- SG = P-31c, No. 163
- final energy (eV/atom) = -5.7901

Density functional theory data (GGA+U) for an optimized crystal structure of NaYCo2F8.

Lattice parameters (Å, degrees): 5.010 5.009 6.677 89.94 89.95 89.38
Sites, in units of the cell vectors:
1 Na 0.000 0.000 0.500
2 Y 0.000 0.000 0.000
3 Co 0.500 0.500 0.738
4 Co 0.500 0.500 0.262
5 F 0.211 0.788 0.238
6 F 0.686 0.687 0.000
7 F 0.789 0.212 0.238
8 F 0.789 0.212 0.762
9 F 0.314 0.313 0.000
10 F 0.211 0.788 0.762
11 F 0.680 0.681 0.500
12 F 0.320 0.319 0.500

Output
- SG = C2/m, No. 12
- final energy (eV/atom) = -5.6126

Density functional theory data (GGA+U) for an optimized crystal structure of Na2YCoF8.

Lattice parameters (Å, degrees): 5.085 5.122 6.727 90.00 90.00 91.04
Sites, in units of the cell vectors:
1 Na 0.500 0.500 0.759
2 Na 0.500 0.500 0.241
3 Y 0.000 0.000 0.500
4 Co 0.000 0.000 0.000
5 F 0.178 0.817 0.227
6 F 0.740 0.748 0.000
7 F 0.822 0.183 0.227
8 F 0.822 0.183 0.773
9 F 0.260 0.252 0.000
10 F 0.178 0.817 0.773
11 F 0.697 0.706 0.500
12 F 0.303 0.294 0.500

Output
- SG = P2/m, No. 10
- final energy (eV/atom) = -5.3727

Density functional theory data (GGA+U) for an optimized crystal structure of NaZnCo2F6.

Lattice parameters (Å, degrees): 5.439 5.447 5.847 62.18 62.22 60.09
Sites, in units of the cell vectors:
1 Na 0.806 0.806 0.581
2 Zn 0.317 0.319 0.047
3 Co 0.517 0.519 0.446
4 Co 0.012 0.012 0.965
5 F 0.603 0.236 0.231
6 F 0.235 0.929 0.230
7 F 0.931 0.602 0.233
8 F 0.381 0.720 0.760
9 F 0.720 0.136 0.762
10 F 0.138 0.382 0.761

Output
- SG = P1, No. 1
- final energy (eV/atom) = -4.4458

Density functional theory data (GGA+U) for an optimized crystal structure of NaZn2CoF8.

Lattice parameters (Å, degrees): 4.861 4.845 6.347 90.00 90.00 88.69
Sites, in units of the cell vectors:
1 Na 0.000 0.000 0.500
2 Zn 0.500 0.500 0.752
3 Zn 0.500 0.500 0.248
4 Co 0.000 0.000 0.000
5 F 0.190 0.808 0.210
6 F 0.697 0.698 0.000
7 F 0.810 0.192 0.210
8 F 0.810 0.192 0.790
9 F 0.303 0.302 0.000
10 F 0.190 0.808 0.790
11 F 0.679 0.682 0.500
12 F 0.321 0.318 0.500

Output
- SG = P2/m, No. 10
- final energy (eV/atom) = -4.2260

Density functional theory data (GGA+U) for an optimized crystal structure of NaZnCoF6.

Lattice parameters (Å, degrees): 5.219 5.219 9.795 90.00 90.00 120.00
Sites, in units of the cell vectors:
1 Na 0.000 0.000 0.000
2 Na 0.000 0.000 0.500
3 Zn 0.333 0.667 0.250
4 Zn 0.667 0.333 0.750
5 Co 0.667 0.333 0.250
6 Co 0.333 0.667 0.750
7 F 0.651 0.623 0.143
8 F 0.971 0.349 0.143
9 F 0.349 0.971 0.643
10 F 0.029 0.651 0.857
11 F 0.377 0.349 0.357
12 F 0.971 0.623 0.357
13 F 0.623 0.971 0.857
14 F 0.651 0.029 0.357
15 F 0.029 0.377 0.643
16 F 0.377 0.029 0.143
17 F 0.623 0.651 0.643
18 F 0.349 0.377 0.857

Output
- SG = P-31c, No. 163
- final energy (eV/atom) = -4.3347